Entry 1:
Compound: PmCl4
Source: OQMD via LeMat-Bulk
Functional: PBE
Structure: relaxed

Its uncorrected energy is -0.155 hartree per atom. The total moment comes out at 0.003 μB/f.u.

a = 7.400 Å, b = 7.400 Å, c = 8.174 Å
α = 93.71°, β = 93.71°, γ = 59.69°
Positions (direct):
Pm: 0.166 0.166 0.001
Pm: 0.834 0.834 0.999
Cl: 0.005 0.510 0.208
Cl: 0.009 0.009 0.209
Cl: 0.437 0.437 0.566
Cl: 0.490 0.995 0.792
Cl: 0.510 0.005 0.208
Cl: 0.563 0.563 0.434
Cl: 0.991 0.991 0.791
Cl: 0.995 0.490 0.792

=====

Entry 2:
Compound: PmCl
Source: OQMD via LeMat-Bulk
Functional: PBE
Structure: relaxed

Its uncorrected energy is -0.157 hartree per atom. The total moment comes out at 0.010 μB/f.u. The offset from the most stable computed form comes out at 38.6 kJ per mole of atoms.

a = 4.509 Å, b = 4.509 Å, c = 4.509 Å
α = 60.00°, β = 60.00°, γ = 60.00°
Positions (direct):
Pm: 0.000 0.000 0.000
Cl: 0.250 0.250 0.250

=====

Entry 3:
Compound: PmPrS2Cl2
Source: OQMD via LeMat-Bulk
Functional: PBE
Structure: relaxed

Its uncorrected energy is -0.208 hartree per atom. The total moment comes out at 0.000 μB/f.u.

a = 4.870 Å, b = 4.870 Å, c = 6.807 Å
α = 90.00°, β = 90.00°, γ = 90.00°
Positions (direct):
Pm: 0.000 0.000 0.000
Pr: 0.500 0.500 0.598
S: 0.000 0.500 0.804
S: 0.500 0.000 0.804
Cl: 0.000 0.000 0.399
Cl: 0.500 0.500 0.196

=====

Entry 4:
Compound: PmPrSe2Cl2
Source: OQMD via LeMat-Bulk
Functional: PBE
Structure: relaxed

Its uncorrected energy is -0.195 hartree per atom. The total moment comes out at 0.000 μB/f.u.

a = 5.253 Å, b = 5.253 Å, c = 6.729 Å
α = 90.00°, β = 90.00°, γ = 90.00°
Positions (direct):
Pm: 0.000 0.000 0.000
Pr: 0.500 0.500 0.614
Se: 0.000 0.500 0.813
Se: 0.500 0.000 0.813
Cl: 0.000 0.000 0.390
Cl: 0.500 0.500 0.219

=====

Entry 5:
Compound: Pm3PtCl
Source: OQMD via LeMat-Bulk
Functional: PBE
Structure: relaxed

Its uncorrected energy is -0.164 hartree per atom. The total moment comes out at 0.013 μB/f.u.

a = 8.925 Å, b = 8.925 Å, c = 5.841 Å
α = 90.00°, β = 90.00°, γ = 120.00°
Positions (direct):
Pm: 0.156 0.313 0.250
Pm: 0.156 0.844 0.250
Pm: 0.313 0.156 0.750
Pm: 0.687 0.844 0.250
Pm: 0.844 0.156 0.750
Pm: 0.844 0.687 0.750
Pt: 0.333 0.667 0.250
Pt: 0.667 0.333 0.750
Cl: 0.000 0.000 0.000
Cl: 0.000 0.000 0.500

=====

Entry 6:
Compound: PmTl3Cl6
Source: OQMD via LeMat-Bulk
Functional: PBE
Structure: relaxed

Its uncorrected energy is -0.141 hartree per atom. The total moment comes out at 0.000 μB/f.u.

a = 7.536 Å, b = 8.233 Å, c = 12.959 Å
α = 90.00°, β = 122.63°, γ = 90.00°
Positions (direct):
Pm: 0.000 0.000 0.000
Pm: 0.000 0.500 0.500
Tl: 0.290 0.068 0.766
Tl: 0.290 0.432 0.266
Tl: 0.500 0.000 0.500
Tl: 0.500 0.500 0.000
Tl: 0.710 0.568 0.734
Tl: 0.710 0.932 0.234
Cl: 0.099 0.065 0.232
Cl: 0.099 0.435 0.732
Cl: 0.243 0.726 0.080
Cl: 0.243 0.774 0.580
Cl: 0.346 0.169 0.045
Cl: 0.346 0.331 0.545
Cl: 0.654 0.669 0.455
Cl: 0.654 0.831 0.955
Cl: 0.757 0.226 0.420
Cl: 0.757 0.274 0.920
Cl: 0.901 0.565 0.268
Cl: 0.901 0.935 0.768

=====

Entry 7:
Compound: Pm3ZnCl3
Source: OQMD via LeMat-Bulk
Functional: PBE
Structure: relaxed

Its uncorrected energy is -0.163 hartree per atom. The total moment comes out at 0.000 μB/f.u.

a = 5.762 Å, b = 5.762 Å, c = 5.762 Å
α = 90.00°, β = 90.00°, γ = 90.00°
Positions (direct):
Pm: 0.000 0.000 0.500
Pm: 0.000 0.500 0.000
Pm: 0.500 0.000 0.000
Zn: 0.000 0.000 0.000
Cl: 0.000 0.500 0.500
Cl: 0.500 0.000 0.500
Cl: 0.500 0.500 0.000

=====

Entry 8:
Compound: Pr3Cl2
Source: OQMD via LeMat-Bulk
Functional: PBE
Structure: relaxed

Its uncorrected energy is -0.172 hartree per atom. The total moment comes out at 0.019 μB/f.u.

a = 7.658 Å, b = 7.658 Å, c = 7.658 Å
α = 55.91°, β = 55.91°, γ = 55.91°
Positions (direct):
Pr: 0.090 0.750 0.410
Pr: 0.250 0.590 0.910
Pr: 0.410 0.090 0.750
Pr: 0.590 0.910 0.250
Pr: 0.750 0.410 0.090
Pr: 0.910 0.250 0.590
Cl: 0.165 0.165 0.165
Cl: 0.335 0.335 0.335
Cl: 0.665 0.665 0.665
Cl: 0.835 0.835 0.835

=====

What is the total moment in the fifth record?
0.013 μB/f.u.

=====

Which of these has the highest total moment?
Pr3Cl2

=====

uncorrected energy of number 4 (PmPrSe2Cl2)?
-0.195 hartree per atom

=====

The lowest uncorrected energy belongs to which entry?
PmPrS2Cl2